{"formula": "Sm2ZnSb3Rh4", "functional": "PBE", "state": "optimized geometry", "formation_energy_uncorrected_ev_per_fu": -7.7, "total_magnetization_mub_per_cell": 0.0, "spacegroup": "P-4m2, No. 115", "lattice": [[4.360, 0.000, 0.000], [0.000, 4.360, 0.000], [0.000, 0.000, 10.803]], "species": ["Sm", "Sm", "Zn", "Sb", "Sb", "Sb", "Rh", "Rh", "Rh", "Rh"], "frac_coords": [[0.000, 0.500, 0.243], [0.500, 0.000, 0.757], [0.500, 0.500, 0.000], [0.000, 0.000, 0.000], [0.000, 0.500, 0.637], [0.500, 0.000, 0.363], [0.000, 0.000, 0.500], [0.000, 0.500, 0.871], [0.500, 0.000, 0.129], [0.500, 0.500, 0.500]]}

{"formula": "Sm2ZrSb3Rh4", "functional": "PBE", "state": "optimized geometry", "formation_energy_uncorrected_ev_per_fu": -8.5, "total_magnetization_mub_per_cell": 0.0, "spacegroup": "P-4m2, No. 115", "lattice": [[4.330, 0.000, 0.000], [0.000, 4.330, 0.000], [0.000, 0.000, 11.384]], "species": ["Sm", "Sm", "Zr", "Sb", "Sb", "Sb", "Rh", "Rh", "Rh", "Rh"], "frac_coords": [[0.000, 0.500, 0.231], [0.500, 0.000, 0.769], [0.000, 0.000, 0.500], [0.000, 0.500, 0.865], [0.500, 0.000, 0.135], [0.500, 0.500, 0.500], [0.000, 0.000, 0.000], [0.000, 0.500, 0.639], [0.500, 0.000, 0.361], [0.500, 0.500, 0.000]]}

{"formula": "Sn3SbRh", "functional": "PBE", "state": "optimized geometry", "formation_energy_uncorrected_ev_per_fu": -0.2, "total_magnetization_mub_per_cell": 0.0, "e_above_lowest_polymorph_mev_per_atom": 0, "spacegroup": "Pm-3m, No. 221", "lattice": [[5.152, 0.000, 0.000], [0.000, 5.152, 0.000], [0.000, 0.000, 5.152]], "species": ["Sn", "Sn", "Sn", "Sb", "Rh"], "frac_coords": [[0.000, 0.000, 0.500], [0.000, 0.500, 0.000], [0.500, 0.000, 0.000], [0.500, 0.500, 0.500], [0.000, 0.000, 0.000]]}

{"formula": "SnSbRh2", "functional": "PBE", "state": "optimized geometry", "formation_energy_uncorrected_ev_per_fu": -0.9, "total_magnetization_mub_per_cell": 0.0, "e_above_lowest_polymorph_mev_per_atom": 294, "spacegroup": "Fm-3m, No. 225", "lattice": [[0.000, 3.285, 3.285], [3.285, 0.000, 3.285], [3.285, 3.285, 0.000]], "species": ["Sn", "Sb", "Rh", "Rh"], "frac_coords": [[0.000, 0.000, 0.000], [0.500, 0.500, 0.500], [0.250, 0.250, 0.250], [0.750, 0.750, 0.750]]}

{"formula": "Sn2SbRh", "functional": "PBE", "state": "optimized geometry", "formation_energy_uncorrected_ev_per_fu": 0.4, "total_magnetization_mub_per_cell": 0.0, "spacegroup": "I-42d, No. 122", "lattice": [[-3.026, 3.026, 6.821], [3.026, -3.026, 6.821], [3.026, 3.026, -6.821]], "species": ["Sn", "Sn", "Sn", "Sn", "Sb", "Sb", "Rh", "Rh"], "frac_coords": [[0.068, 0.625, 0.943], [0.375, 0.318, 0.443], [0.682, 0.125, 0.057], [0.875, 0.932, 0.557], [0.250, 0.750, 0.500], [0.500, 0.500, 0.000], [0.000, 0.000, 0.000], [0.750, 0.250, 0.500]]}

{"formula": "Sn2SbRh2", "functional": "PBE", "state": "optimized geometry", "formation_energy_uncorrected_ev_per_fu": -1.4, "total_magnetization_mub_per_cell": 0.0, "spacegroup": "P4/mbm, No. 127", "lattice": [[7.853, 0.000, 0.000], [0.000, 7.853, 0.000], [0.000, 0.000, 3.149]], "species": ["Sn", "Sn", "Sn", "Sn", "Sb", "Sb", "Rh", "Rh", "Rh", "Rh"], "frac_coords": [[0.149, 0.351, 0.000], [0.351, 0.851, 0.000], [0.649, 0.149, 0.000], [0.851, 0.649, 0.000], [0.000, 0.000, 0.500], [0.500, 0.500, 0.500], [0.146, 0.646, 0.500], [0.354, 0.146, 0.500], [0.646, 0.854, 0.500], [0.854, 0.354, 0.500]]}

{"formula": "SnSbRh2", "functional": "PBE", "state": "optimized geometry", "formation_energy_uncorrected_ev_per_fu": -2.1, "total_magnetization_mub_per_cell": 0.0, "e_above_lowest_polymorph_mev_per_atom": 0, "spacegroup": "P2_1/c, No. 14", "lattice": [[7.864, 0.000, 0.000], [0.000, 6.561, 0.000], [-0.001, 0.000, 5.878]], "species": ["Sn", "Sn", "Sn", "Sn", "Sb", "Sb", "Sb", "Sb", "Rh", "Rh", "Rh", "Rh", "Rh", "Rh", "Rh", "Rh"], "frac_coords": [[0.122, 0.094, 0.200], [0.122, 0.406, 0.700], [0.878, 0.594, 0.300], [0.878, 0.906, 0.800], [0.372, 0.583, 0.303], [0.372, 0.917, 0.803], [0.628, 0.083, 0.197], [0.628, 0.417, 0.697], [0.132, 0.703, 0.006], [0.132, 0.797, 0.506], [0.383, 0.204, 0.493], [0.383, 0.296, 0.993], [0.617, 0.704, 0.007], [0.617, 0.796, 0.507], [0.868, 0.203, 0.494], [0.868, 0.297, 0.994]]}

{"formula": "Sn2SbRh4", "functional": "PBE", "state": "optimized geometry", "formation_energy_uncorrected_ev_per_fu": 3.0, "total_magnetization_mub_per_cell": 0.0, "spacegroup": "I4/mmm, No. 139", "lattice": [[-2.397, 2.397, 6.715], [2.397, -2.397, 6.715], [2.397, 2.397, -6.715]], "species": ["Sn", "Sn", "Sb", "Rh", "Rh", "Rh", "Rh"], "frac_coords": [[0.123, 0.123, 0.000], [0.877, 0.877, 0.000], [0.500, 0.500, 0.000], [0.000, 0.500, 0.500], [0.312, 0.312, 0.000], [0.500, 0.000, 0.500], [0.688, 0.688, 0.000]]}

{"formula": "SnSbRh2", "functional": "PBE", "state": "optimized geometry", "formation_energy_uncorrected_ev_per_fu": 0.2, "total_magnetization_mub_per_cell": 0.0, "e_above_lowest_polymorph_mev_per_atom": 577, "spacegroup": "I-42d, No. 122", "lattice": [[-2.946, 2.946, 5.964], [2.946, -2.946, 5.964], [2.946, 2.946, -5.964]], "species": ["Sn", "Sn", "Sb", "Sb", "Rh", "Rh", "Rh", "Rh"], "frac_coords": [[0.000, 0.000, 0.000], [0.750, 0.250, 0.500], [0.250, 0.750, 0.500], [0.500, 0.500, 0.000], [0.131, 0.625, 0.006], [0.375, 0.381, 0.506], [0.619, 0.125, 0.994], [0.875, 0.869, 0.494]]}

{"formula": "Sn3SbRh3", "functional": "PBE", "state": "optimized geometry", "formation_energy_uncorrected_ev_per_fu": -2.4, "total_magnetization_mub_per_cell": 0.0, "spacegroup": "R-3, No. 148", "lattice": [[3.973, 2.294, 5.343], [-3.973, 2.294, 5.343], [0.000, -4.588, 5.343]], "species": ["Sn", "Sn", "Sn", "Sn", "Sn", "Sn", "Sb", "Sb", "Rh", "Rh", "Rh", "Rh", "Rh", "Rh"], "frac_coords": [[0.129, 0.831, 0.382], [0.169, 0.618, 0.871], [0.382, 0.129, 0.831], [0.618, 0.871, 0.169], [0.831, 0.382, 0.129], [0.871, 0.169, 0.618], [0.332, 0.332, 0.332], [0.668, 0.668, 0.668], [0.046, 0.404, 0.705], [0.295, 0.954, 0.596], [0.404, 0.705, 0.046], [0.596, 0.295, 0.954], [0.705, 0.046, 0.404], [0.954, 0.596, 0.295]]}

{"formula": "SnSbRh", "functional": "PBE", "state": "optimized geometry", "formation_energy_uncorrected_ev_per_fu": -1.2, "total_magnetization_mub_per_cell": 0.0, "spacegroup": "P2_1/c, No. 14", "lattice": [[6.420, 0.000, 0.000], [0.000, 6.703, 0.000], [-3.205, 0.000, 6.168]], "species": ["Sn", "Sn", "Sn", "Sn", "Sb", "Sb", "Sb", "Sb", "Rh", "Rh", "Rh", "Rh"], "frac_coords": [[0.155, 0.152, 0.309], [0.155, 0.348, 0.809], [0.845, 0.652, 0.191], [0.845, 0.848, 0.691], [0.340, 0.628, 0.179], [0.340, 0.872, 0.679], [0.660, 0.128, 0.321], [0.660, 0.372, 0.821], [0.258, 0.508, 0.504], [0.258, 0.992, 0.004], [0.742, 0.008, 0.996], [0.742, 0.492, 0.496]]}

{"formula": "SnSb3Rh", "functional": "PBE", "state": "optimized geometry", "formation_energy_uncorrected_ev_per_fu": 1.4, "total_magnetization_mub_per_cell": 0.0, "e_above_lowest_polymorph_mev_per_atom": 0, "spacegroup": "Pm-3m, No. 221", "lattice": [[5.193, 0.000, 0.000], [0.000, 5.193, 0.000], [0.000, 0.000, 5.193]], "species": ["Sn", "Sb", "Sb", "Sb", "Rh"], "frac_coords": [[0.000, 0.000, 0.000], [0.000, 0.500, 0.500], [0.500, 0.000, 0.500], [0.500, 0.500, 0.000], [0.500, 0.500, 0.500]]}

{"formula": "SnSb6Rh", "functional": "PBE", "state": "optimized geometry", "formation_energy_uncorrected_ev_per_fu": -0.8, "total_magnetization_mub_per_cell": 0.0, "spacegroup": "C2/m, No. 12", "lattice": [[6.926, -4.854, 0.000], [6.926, 4.854, 0.000], [-6.900, 0.000, 7.176]], "species": ["Sn", "Sn", "Sb", "Sb", "Sb", "Sb", "Sb", "Sb", "Sb", "Sb", "Sb", "Sb", "Sb", "Sb", "Rh", "Rh"], "frac_coords": [[0.000, 0.500, 0.000], [0.500, 0.000, 0.000], [0.130, 0.829, 0.628], [0.171, 0.870, 0.372], [0.201, 0.507, 0.830], [0.329, 0.329, 0.488], [0.373, 0.373, 0.240], [0.493, 0.799, 0.170], [0.507, 0.201, 0.830], [0.627, 0.627, 0.760], [0.671, 0.671, 0.512], [0.799, 0.493, 0.170], [0.829, 0.130, 0.628], [0.870, 0.171, 0.372], [0.000, 0.500, 0.500], [0.500, 0.000, 0.500]]}

{"formula": "Sr2SnSb3Rh4", "functional": "PBE", "state": "optimized geometry", "formation_energy_uncorrected_ev_per_fu": -7.1, "total_magnetization_mub_per_cell": 0.0, "spacegroup": "P-4m2, No. 115", "lattice": [[4.530, 0.000, 0.000], [0.000, 4.530, 0.000], [0.000, 0.000, 10.929]], "species": ["Sr", "Sr", "Sn", "Sb", "Sb", "Sb", "Rh", "Rh", "Rh", "Rh"], "frac_coords": [[0.000, 0.500, 0.249], [0.500, 0.000, 0.751], [0.000, 0.000, 0.500], [0.000, 0.500, 0.871], [0.500, 0.000, 0.129], [0.500, 0.500, 0.500], [0.000, 0.000, 0.000], [0.000, 0.500, 0.630], [0.500, 0.000, 0.370], [0.500, 0.500, 0.000]]}

{"formula": "Sr2Sn3SbRh4", "functional": "PBE", "state": "optimized geometry", "formation_energy_uncorrected_ev_per_fu": -6.5, "total_magnetization_mub_per_cell": 0.0, "spacegroup": "P-4m2, No. 115", "lattice": [[4.615, 0.000, 0.000], [0.000, 4.615, 0.000], [0.000, 0.000, 10.643]], "species": ["Sr", "Sr", "Sn", "Sn", "Sn", "Sb", "Rh", "Rh", "Rh", "Rh"], "frac_coords": [[0.000, 0.500, 0.246], [0.500, 0.000, 0.754], [0.000, 0.500, 0.875], [0.500, 0.000, 0.125], [0.500, 0.500, 0.500], [0.000, 0.000, 0.500], [0.000, 0.000, 0.000], [0.000, 0.500, 0.625], [0.500, 0.000, 0.375], [0.500, 0.500, 0.000]]}

{"formula": "TaSnSbRh2", "functional": "PBE", "state": "optimized geometry", "formation_energy_uncorrected_ev_per_fu": 5.9, "total_magnetization_mub_per_cell": 0.0, "e_above_lowest_polymorph_mev_per_atom": 398, "spacegroup": "P4/mmm, No. 123", "lattice": [[4.794, 0.000, 0.000], [0.000, 4.794, 0.000], [0.000, 0.000, 5.168]], "species": ["Ta", "Sn", "Sb", "Rh", "Rh"], "frac_coords": [[0.000, 0.000, 0.000], [0.000, 0.000, 0.500], [0.500, 0.500, 0.000], [0.000, 0.500, 0.500], [0.500, 0.000, 0.500]]}

{"formula": "TaSnSbRh2", "functional": "PBE", "state": "optimized geometry", "formation_energy_uncorrected_ev_per_fu": 3.9, "total_magnetization_mub_per_cell": 0.0, "e_above_lowest_polymorph_mev_per_atom": 0, "spacegroup": "P4/mmm, No. 123", "lattice": [[4.779, 0.000, 0.000], [0.000, 4.779, 0.000], [0.000, 0.000, 5.362]], "species": ["Ta", "Sn", "Sb", "Rh", "Rh"], "frac_coords": [[0.000, 0.000, 0.000], [0.000, 0.000, 0.500], [0.500, 0.500, 0.500], [0.000, 0.500, 0.000], [0.500, 0.000, 0.000]]}

{"formula": "Sr4SbRh", "functional": "PBE", "state": "optimized geometry", "formation_energy_uncorrected_ev_per_fu": -3.1, "total_magnetization_mub_per_cell": 0.0, "e_above_lowest_polymorph_mev_per_atom": 0, "spacegroup": "C2/c, No. 15", "lattice": [[4.997, -7.335, 0.000], [4.997, 7.335, 0.000], [-3.522, 0.000, 5.980]], "species": ["Sr", "Sr", "Sr", "Sr", "Sr", "Sr", "Sr", "Sr", "Sb", "Sb", "Rh", "Rh"], "frac_coords": [[0.055, 0.712, 0.917], [0.222, 0.343, 0.702], [0.288, 0.945, 0.583], [0.343, 0.222, 0.202], [0.657, 0.778, 0.798], [0.712, 0.055, 0.417], [0.778, 0.657, 0.298], [0.945, 0.288, 0.083], [0.366, 0.634, 0.250], [0.634, 0.366, 0.750], [0.000, 0.000, 0.250], [0.000, 0.000, 0.750]]}

{"formula": "Sr2Sb2Rh3", "functional": "PBE", "state": "optimized geometry", "formation_energy_uncorrected_ev_per_fu": -4.1, "total_magnetization_mub_per_cell": 0.0, "spacegroup": "C2/m, No. 12", "lattice": [[5.935, -2.084, 0.000], [5.935, 2.084, 0.000], [-3.082, 0.000, 6.745]], "species": ["Sr", "Sr", "Sb", "Sb", "Rh", "Rh", "Rh"], "frac_coords": [[0.126, 0.126, 0.248], [0.874, 0.874, 0.752], [0.142, 0.142, 0.719], [0.858, 0.858, 0.281], [0.346, 0.346, 0.066], [0.500, 0.500, 0.500], [0.654, 0.654, 0.934]]}

{"formula": "Sr2SbRh2", "functional": "PBE", "state": "optimized geometry", "formation_energy_uncorrected_ev_per_fu": -3.1, "total_magnetization_mub_per_cell": 0.0, "e_above_lowest_polymorph_mev_per_atom": 0, "spacegroup": "C2/c, No. 15", "lattice": [[5.135, -3.024, 0.000], [5.135, 3.024, 0.000], [-1.751, 0.000, 7.981]], "species": ["Sr", "Sr", "Sr", "Sr", "Sb", "Sb", "Rh", "Rh", "Rh", "Rh"], "frac_coords": [[0.012, 0.283, 0.147], [0.283, 0.012, 0.647], [0.717, 0.988, 0.353], [0.988, 0.717, 0.853], [0.388, 0.612, 0.250], [0.612, 0.388, 0.750], [0.231, 0.504, 0.498], [0.496, 0.769, 0.002], [0.504, 0.231, 0.998], [0.769, 0.496, 0.502]]}

Results for E_tot: -6.02; -6.82; -4.74; -5.94; -4.78; -5.64; -6.24; -5.51; -5.66; -5.80; -5.55; -4.47; -4.61; -5.62; -5.54; -5.77; -6.16; -3.56; -5.39; -5.07 (in eV/atom, following the order of the records).